An optimized crystal structure of Li2GaFeH, computed with PBE.

```
data_Li2GaFeH
_symmetry_space_group_name_H-M 'P 1'
_symmetry_Int_Tables_number 1
_symmetry_space_group_name_Hall 'P 1'
_cell_length_a 3.681
_cell_length_b 3.681
_cell_length_c 3.876
_cell_angle_alpha 90.00
_cell_angle_beta 90.00
_cell_angle_gamma 90.00
loop_
_atom_site_label
_atom_site_type_symbol
_atom_site_fract_x
_atom_site_fract_y
_atom_site_fract_z
H1 H 0.000 0.000 0.000
Li1 Li 0.500 0.000 0.000
Li2 Li 0.000 0.500 0.000
Fe1 Fe 0.000 0.000 0.500
Ga1 Ga 0.500 0.500 0.500
```

Properties
For the density of states at the Fermi level, the calculation gives 1.24 states/eV/cell. As for the space group: No. 123. As for the total magnetization: 1.87 μB/f.u. The electronic total energy is -3.86 eV/atom. The volume is 53 Å³/f.u.